# 1
The following is a PBE calculation of a relaxed structure of Ti5Cd3Au12, from Alexandria.

a = 15.5197 Å, b = 15.5197 Å, c = 15.5197 Å
α = 90.00°, β = 90.00°, γ = 90.00°
Closest atoms and distances in Å follow each position.
Space group Ia-3d (No. 230)
Asymmetric unit:
Ti 0.0000 0.0000 0.0000 (multiplicity 16)  6 Au 2.62
Ti 0.0000 0.2500 0.3750 (multiplicity 24)  4 Au 2.56
Cd 0.0000 0.2500 0.1250 (multiplicity 24)  8 Au 2.78-2.89
Au 0.0151 0.0733 0.6514 (multiplicity 96)  2 Ti 2.56-2.62, 1 Cd 2.78

Computed properties:
The energy of formation from the pure elements is 4.4 eV per formula unit. Its calculated total energy is -617.3 eV/cell. For the density, the calculation gives 10.4 Mg/m³.


# 2
The following is a PBE calculation of a relaxed structure of TiCdAu, from Alexandria.

a = 5.2810 Å, b = 7.7745 Å, c = 11.5260 Å
α = 90.00°, β = 90.00°, γ = 90.00°
Closest atoms and distances in Å follow each position.
Space group Fmmm (No. 69)
Asymmetric unit:
Ti 0.2500 0.2500 0.2500 (multiplicity 8)  2 Ti 2.64, 4 Au 2.74
Cd 0.0000 0.1756 0.0000 (multiplicity 8)  3 Cd 2.73-2.88, 2 Au 2.92
Au 0.0000 0.0000 0.3723 (multiplicity 8)  4 Ti 2.74, 2 Cd 2.92, 1 Au 2.94

Computed properties:
The energy of formation from the pure elements is -0.1 eV per formula unit. Its calculated total energy is -97.9 eV/cell. For the density, the calculation gives 10.0 Mg/m³.


# 3
The following is a PBE calculation of a relaxed structure of TiCdAu2, from Alexandria.

a = 3.0413 Å, b = 3.0413 Å, c = 27.9377 Å
α = 90.00°, β = 90.00°, γ = 120.00°
Closest atoms and distances in Å follow each position.
Space group R-3m (No. 166, hexagonal axes)
Asymmetric unit:
Ti 0.0000 0.0000 0.0000 (multiplicity 3)  6 Au 2.79, 6 Ti 3.04
Cd 0.0000 0.0000 0.5000 (multiplicity 3)  6 Cd 3.04, 6 Au 3.05
Au 0.0000 0.0000 0.2558 (multiplicity 6)  3 Ti 2.79, 6 Au 3.04, 3 Cd 3.05

Computed properties:
The energy of formation from the pure elements is -0.7 eV per formula unit. Its calculated total energy is -48.1 eV/cell. For the density, the calculation gives 12.3 Mg/m³.


# 4
The following is a PBE calculation of a relaxed structure of TiCdAu, from Alexandria.

a = 3.0718 Å, b = 15.4544 Å, c = 4.6906 Å
α = 90.00°, β = 90.00°, γ = 90.00°
Closest atoms and distances in Å follow each position.
Space group Cmcm (No. 63)
Asymmetric unit:
Ti 0.0000 0.0507 0.2500 (multiplicity 4)  4 Ti 2.82-3.07, 6 Au 2.83-2.92, 2 Cd 3.03
Cd 0.0000 0.2800 0.7500 (multiplicity 4)  6 Cd 2.95-3.07, 4 Au 2.96-3.14, 2 Ti 3.03
Au 0.0000 0.3972 0.2500 (multiplicity 4)  6 Ti 2.83-2.92, 4 Cd 2.96-3.14, 2 Au 3.07

Computed properties:
The energy of formation from the pure elements is -0.6 eV per formula unit. Its calculated total energy is -50.9 eV/cell. For the density, the calculation gives 10.7 Mg/m³.


# 5
The following is a PBE calculation of a relaxed structure of TiCd3Au12, from Alexandria.

a = 4.2095 Å, b = 4.2095 Å, c = 16.6052 Å
α = 90.00°, β = 90.00°, γ = 90.00°
Closest atoms and distances in Å follow each position.
Space group P4/mmm (No. 123)
Asymmetric unit:
Ti 0.0000 0.0000 0.0000 (multiplicity 1)  12 Au 2.88-2.98
Cd 0.0000 0.0000 0.2467 (multiplicity 2)  12 Au 2.97-3.00
Cd 0.0000 0.0000 0.5000 (multiplicity 1)  12 Au 2.98
Au 0.0000 0.5000 0.1181 (multiplicity 4)  2 Ti 2.88, 8 Au 2.88-2.98, 2 Cd 3.00
Au 0.0000 0.5000 0.3728 (multiplicity 4)  4 Cd 2.97-2.98, 8 Au 2.98-2.99
Au 0.5000 0.5000 0.0000 (multiplicity 1)  8 Au 2.88, 4 Ti 2.98
Au 0.5000 0.5000 0.2453 (multiplicity 2)  4 Cd 2.98, 8 Au 2.98-2.99
Au 0.5000 0.5000 0.5000 (multiplicity 1)  4 Cd 2.98, 8 Au 2.98

Computed properties:
The energy of formation from the pure elements is -2.1 eV per formula unit. Its calculated total energy is -52.1 eV/cell. For the density, the calculation gives 15.5 Mg/m³.


# 6
The following is a PBE calculation of a relaxed structure of Ti2CdAu3, from Alexandria.

a = 3.0480 Å, b = 3.0480 Å, c = 11.6166 Å
α = 90.00°, β = 90.00°, γ = 90.00°
Closest atoms and distances in Å follow each position.
Space group P4/mmm (No. 123)
Asymmetric unit:
Ti 0.0000 0.0000 0.1640 (multiplicity 2)  8 Au 2.81-2.88, 4 Ti 3.05
Cd 0.0000 0.0000 0.5000 (multiplicity 1)  8 Au 3.01, 4 Cd 3.05
Au 0.5000 0.5000 0.0000 (multiplicity 1)  8 Ti 2.88, 4 Au 3.05
Au 0.5000 0.5000 0.3186 (multiplicity 2)  4 Ti 2.81, 4 Cd 3.01, 4 Au 3.05

Computed properties:
The energy of formation from the pure elements is -2.0 eV per formula unit. Its calculated total energy is -28.5 eV/cell. For the density, the calculation gives 12.3 Mg/m³.


# 7
The following is a PBE calculation of a relaxed structure of TiCdAu, from Alexandria.

a = 4.7225 Å, b = 4.7225 Å, c = 2.8481 Å
α = 90.00°, β = 90.00°, γ = 120.00°
Closest atoms and distances in Å follow each position.
Space group P-6m2 (No. 187)
Asymmetric unit:
Ti 0.0000 0.0000 0.0000 (multiplicity 1)  2 Ti 2.85, 6 Au 3.08, 6 Cd 3.08
Cd 0.6667 0.3333 0.5000 (multiplicity 1)  3 Au 2.73, 2 Cd 2.85
Au 0.3333 0.6667 0.5000 (multiplicity 1)  3 Cd 2.73, 2 Au 2.85

Computed properties:
The energy of formation from the pure elements is -0.3 eV per formula unit. Its calculated total energy is -12.4 eV/cell. For the density, the calculation gives 10.8 Mg/m³.


# 8
The following is a PBE calculation of a relaxed structure of TmTiCdAu, from Alexandria.

a = 6.9521 Å, b = 6.9521 Å, c = 6.9521 Å
α = 90.00°, β = 90.00°, γ = 90.00°
Closest atoms and distances in Å follow each position.
Space group F-43m (No. 216)
Asymmetric unit:
Tm 0.0000 0.0000 0.0000 (multiplicity 4)  4 Cd 3.01, 4 Au 3.01
Ti 0.0000 0.0000 0.5000 (multiplicity 4)  4 Cd 3.01, 4 Au 3.01
Cd 0.2500 0.2500 0.2500 (multiplicity 4)  4 Tm 3.01, 4 Ti 3.01
Au 0.2500 0.2500 0.7500 (multiplicity 4)  4 Tm 3.01, 4 Ti 3.01

Computed properties:
The energy of formation from the pure elements is -1.1 eV per formula unit. Its calculated total energy is -70.7 eV/cell. For the density, the calculation gives 10.4 Mg/m³.